(1)
DFT (PBE) results for an optimized crystal structure of Pr5Y4In4.

The space group is I4/m (No. 87) and the conventional cell measures 12.5869, 12.5869 and 5.1610 Å, with angles of 90.00, 90.00 and 90.00 degrees. The asymmetric unit holds Pr at (0.0000, 0.0000, 0.0000), Pr at (0.0995, 0.8095, 0.5000), Y at (0.0951, 0.6074, 0.0000) and In at (0.1034, 0.2388, 0.0000).

The volume comes out at 408.83 Å³/f.u.

---

(2)
DFT (PBE) results for an optimized crystal structure of BeRe2Hg.

The space group is C2/m (No. 12) and the conventional cell measures 10.6920, 2.7908 and 4.3753 Å, with angles of 90.00, 114.04 and 90.00 degrees. The asymmetric unit holds Be at (0.0000, 0.0000, 0.0000), Re at (0.2073, 0.5000, 0.2078) and Hg at (0.0000, 0.5000, 0.5000).

The volume comes out at 59.62 Å³/f.u.

---

(3)
DFT (PBE) results for an optimized crystal structure of BaNa2CdAu4.

The space group is R-3m (No. 166, hexagonal axes) and the conventional cell measures 4.9104, 4.9104 and 28.7188 Å, with angles of 90.00, 90.00 and 120.00 degrees. The asymmetric unit holds Ba at (0.0000, 0.0000, 0.0000), Na at (0.0000, 0.0000, 0.2340), Cd at (0.0000, 0.0000, 0.5000), Au at (0.0000, 0.0000, 0.1268) and Au at (0.0000, 0.0000, 0.3994).

The volume comes out at 199.90 Å³/f.u.

---

Energy? In order: -4.987 -6.736 -2.704 eV/atom.